Record 1
## ThNiHgPt (PBE)

Data for a relaxed structure of ThNiHgPt.

```
data_ThNiHgPt
_cell_length_a 6.871
_cell_length_b 6.871
_cell_length_c 6.871
_cell_angle_alpha 90.00
_cell_angle_beta 90.00
_cell_angle_gamma 90.00
_symmetry_space_group_name_H-M 'F -4 3 m'
_symmetry_Int_Tables_number 216
_symmetry_space_group_name_Hall 'F -4 2 3'
loop_
_atom_site_label
_atom_site_type_symbol
_atom_site_fract_x
_atom_site_fract_y
_atom_site_fract_z
Th1 Th 0.000 0.000 0.000
Ni1 Ni 0.250 0.250 0.750
Hg1 Hg 0.000 0.000 0.500
Pt1 Pt 0.250 0.250 0.250
```

Summary:
Uncorrected energy, eV/atom: -5.377
Calculated density, g/cm³: 14.06


Record 2
## NaSr2InH (PBE)

Data for a relaxed structure of NaSr2InH.

```
data_NaSr2InH
_cell_length_a 5.539
_cell_length_b 5.539
_cell_length_c 4.634
_cell_angle_alpha 90.00
_cell_angle_beta 90.00
_cell_angle_gamma 90.00
_symmetry_space_group_name_H-M 'P 4/m m m'
_symmetry_Int_Tables_number 123
_symmetry_space_group_name_Hall '-P 4 2'
loop_
_atom_site_label
_atom_site_type_symbol
_atom_site_fract_x
_atom_site_fract_y
_atom_site_fract_z
Na1 Na 0.000 0.000 0.000
Sr1 Sr 0.000 0.500 0.500
In1 In 0.500 0.500 0.000
H1 H 0.500 0.500 0.500
```

Summary:
Uncorrected energy, eV/atom: -2.311
Calculated density, g/cm³: 3.67